Entry 1:
Below is a relaxed SiNi2Ir crystal, with properties calculated at the GGA-PBE level.

Properties
Size of the total moment: 0.00 μB/atom

abc: 2.871 4.123 8.215
angles: 90.00 90.00 90.00
Positions (direct):
Si 0.000 0.000 0.000
Si 0.500 0.500 0.500
Ni 0.000 0.000 0.486
Ni 0.000 0.500 0.714
Ni 0.500 0.000 0.214
Ni 0.500 0.500 0.986
Ir 0.000 0.500 0.265
Ir 0.500 0.000 0.765

Entry 2:
Below is a relaxed Ce2AgSe crystal, with properties calculated at the GGA-PBE level.

Properties
Size of the total moment: 0.53 μB/atom

abc: 4.186 4.186 22.136
angles: 90.00 90.00 120.00
Positions (direct):
Ce 0.000 0.000 0.244
Ce 0.000 0.000 0.756
Ce 0.333 0.667 0.423
Ce 0.333 0.667 0.910
Ce 0.667 0.333 0.090
Ce 0.667 0.333 0.577
Ag 0.000 0.000 0.000
Ag 0.333 0.667 0.667
Ag 0.667 0.333 0.333
Se 0.000 0.000 0.500
Se 0.333 0.667 0.167
Se 0.667 0.333 0.833

no.,formation energy (no corrections) (eV/f.u.)
1,-1.2
2,-3.1